Entry 1:
Here is a relaxed Pm3NdHg6 crystal from Alexandria via LeMat-Bulk. Energies are from GGA-PBE.

Summary:
ΔE_f = -0.440 eV per atom
space group = P2_1/m

Cell lengths 5.247, 9.456, 11.365 Å; angles 106.79, 90.00, 90.00 degrees
Positions (direct):
Pm1 0.250 0.508 0.385
Pm2 0.750 0.492 0.615
Pm3 0.250 0.354 0.798
Pm4 0.750 0.646 0.202
Pm5 0.250 0.775 0.993
Pm6 0.750 0.225 0.007
Nd1 0.250 0.936 0.613
Nd2 0.750 0.064 0.387
Hg1 0.250 0.463 0.090
Hg2 0.750 0.537 0.910
Hg3 0.250 0.139 0.200
Hg4 0.750 0.861 0.800
Hg5 0.250 0.653 0.705
Hg6 0.750 0.347 0.295
Hg7 0.250 0.244 0.511
Hg8 0.750 0.756 0.489
Hg9 0.250 0.836 0.311
Hg10 0.750 0.164 0.689
Hg11 0.250 0.063 0.900
Hg12 0.750 0.937 0.100



Entry 2:
Here is a relaxed PmNd4Hg3 crystal from Alexandria via LeMat-Bulk. Energies are from GGA-PBE.

Summary:
ΔE_f = -0.292 eV per atom
space group = R-3m

Cell lengths 5.433, 5.433, 9.831 Å; angles 73.96, 73.96, 60.00 degrees
Positions (direct):
Nd1 0.869 0.869 0.393
Nd2 0.388 0.388 0.837
Nd3 0.131 0.131 0.607
Nd4 0.612 0.612 0.163
Hg1 0.265 0.265 0.206
Hg2 0.735 0.735 0.794
Hg3 0.500 0.500 0.500
Pm1 0.000 0.000 0.000



Entry 3:
Here is a relaxed PmNd2Hg6 crystal from Alexandria via LeMat-Bulk. Energies are from GGA-PBE.

Summary:
ΔE_f = -0.431 eV per atom
space group = P6/mmm

Cell lengths 3.490, 8.746, 8.746 Å; angles 60.02, 90.03, 90.03 degrees
Positions (direct):
Pm1 0.500 0.500 0.500
Nd1 0.500 0.167 0.167
Nd2 0.500 0.833 0.833
Hg1 0.000 0.500 0.167
Hg2 0.000 0.500 0.833
Hg3 0.000 0.833 0.500
Hg4 0.000 0.167 0.833
Hg5 0.000 0.833 0.167
Hg6 0.000 0.167 0.500



Entry 4:
Here is a relaxed Pm2NdHg3 crystal from Alexandria via LeMat-Bulk. Energies are from GGA-PBE.

Summary:
ΔE_f = -0.475 eV per atom
space group = Cmmm

Cell lengths 5.390, 8.527, 7.676 Å; angles 90.00, 90.00, 71.58 degrees
Positions (direct):
Pm1 0.000 0.000 0.000
Pm2 0.000 0.000 0.500
Pm3 0.333 0.334 0.500
Pm4 0.667 0.666 0.500
Nd1 0.333 0.333 0.000
Nd2 0.667 0.667 0.000
Hg1 0.834 0.332 0.747
Hg2 0.500 0.000 0.252
Hg3 0.166 0.668 0.253
Hg4 0.834 0.332 0.253
Hg5 0.166 0.668 0.747
Hg6 0.500 0.000 0.748



Entry 5:
Here is a relaxed Pm2NdHg8 crystal from Alexandria via LeMat-Bulk. Energies are from GGA-PBE.

Summary:
ΔE_f = -0.355 eV per atom
space group = C2/m
ΔE to the lowest computed polymorph = 0.0000 eV/atom

Cell lengths 5.069, 7.335, 8.494 Å; angles 109.20, 107.36, 90.00 degrees
Positions (direct):
Pm1 0.790 0.348 0.581
Pm2 0.210 0.652 0.419
Nd1 0.500 0.000 0.000
Hg1 0.405 0.542 0.811
Hg2 0.673 0.900 0.345
Hg3 0.848 0.825 0.696
Hg4 0.977 0.273 0.955
Hg5 0.152 0.175 0.304
Hg6 0.327 0.100 0.655
Hg7 0.595 0.458 0.189
Hg8 0.023 0.727 0.045



Entry 6:
Here is a relaxed PmNd5Hg3 crystal from Alexandria via LeMat-Bulk. Energies are from GGA-PBE.

Summary:
ΔE_f = -0.277 eV per atom
space group = P6_3/mcm

Cell lengths 7.101, 9.388, 9.388 Å; angles 120.00, 90.00, 90.00 degrees
Positions (direct):
Pm1 0.000 0.000 0.000
Pm2 0.500 0.000 0.000
Nd1 0.000 0.667 0.333
Nd2 0.500 0.333 0.667
Nd3 0.000 0.333 0.667
Nd4 0.500 0.667 0.333
Nd5 0.750 0.666 0.666
Nd6 0.750 0.000 0.334
Nd7 0.750 0.334 0.000
Nd8 0.250 0.334 0.334
Nd9 0.250 0.000 0.666
Nd10 0.250 0.666 0.000
Hg1 0.750 0.331 0.331
Hg2 0.750 0.000 0.669
Hg3 0.750 0.669 0.000
Hg4 0.250 0.669 0.669
Hg5 0.250 0.000 0.331
Hg6 0.250 0.331 0.000



Entry 7:
Here is a relaxed Pm3Nd2Hg crystal from Alexandria via LeMat-Bulk. Energies are from GGA-PBE.

Summary:
ΔE_f = -0.067 eV per atom
space group = C2/m

Cell lengths 6.234, 6.253, 11.648 Å; angles 84.81, 79.53, 60.10 degrees
Positions (direct):
Pm1 0.424 0.655 0.760
Pm2 0.265 0.000 0.240
Pm3 0.576 0.345 0.240
Pm4 0.922 0.655 0.240
Pm5 0.078 0.345 0.760
Pm6 0.735 0.000 0.760
Nd1 0.000 0.000 0.000
Nd2 0.500 0.000 0.500
Nd3 0.164 0.672 0.500
Nd4 0.836 0.328 0.500
Hg1 0.667 0.666 0.000
Hg2 0.333 0.334 0.000



Entry 8:
Here is a relaxed Pm3Nd2Hg8 crystal from Alexandria via LeMat-Bulk. Energies are from GGA-PBE.

Summary:
ΔE_f = -0.346 eV per atom
space group = C2/m

Cell lengths 5.371, 8.431, 8.431 Å; angles 79.49, 77.97, 77.97 degrees
Positions (direct):
Pm1 0.500 0.000 0.000
Pm2 0.000 0.242 0.758
Pm3 0.000 0.758 0.242
Nd1 0.354 0.295 0.295
Nd2 0.646 0.705 0.705
Hg1 0.225 0.569 0.569
Hg2 0.775 0.431 0.431
Hg3 0.932 0.153 0.153
Hg4 0.068 0.847 0.847
Hg5 0.636 0.599 0.088
Hg6 0.636 0.088 0.599
Hg7 0.364 0.912 0.401
Hg8 0.364 0.401 0.912



Entry 9:
Here is a relaxed Pm6Nd2Hg crystal from Alexandria via LeMat-Bulk. Energies are from GGA-PBE.

Summary:
ΔE_f = -0.096 eV per atom
space group = P-62m
ΔE to the lowest computed polymorph = 0.0000 eV/atom

Cell lengths 3.763, 9.621, 9.620 Å; angles 120.00, 90.00, 90.00 degrees
Positions (direct):
Pm1 0.500 0.619 0.000
Pm2 0.500 0.381 0.381
Pm3 0.500 0.000 0.619
Pm4 0.000 0.268 0.000
Pm5 0.000 0.732 0.732
Pm6 0.000 0.000 0.268
Nd1 0.000 0.333 0.667
Nd2 0.000 0.667 0.333
Hg1 0.500 0.000 0.000



Entry 10:
Here is a relaxed Pm2Nd3Hg2 crystal from Alexandria via LeMat-Bulk. Energies are from GGA-PBE.

Summary:
ΔE_f = -0.195 eV per atom
space group = Cmmm
ΔE to the lowest computed polymorph = 0.0345 eV/atom

Cell lengths 3.723, 3.693, 16.217 Å; angles 90.00, 96.59, 90.00 degrees
Positions (direct):
Pm1 0.297 0.500 0.595
Pm2 0.703 0.500 0.405
Nd1 0.420 0.500 0.841
Nd2 0.580 0.500 0.159
Nd3 0.000 0.000 0.000
Hg1 0.142 0.000 0.284
Hg2 0.858 0.000 0.716



Entry 11:
Here is a relaxed Pm3Nd2Hg3 crystal from Alexandria via LeMat-Bulk. Energies are from GGA-PBE.

Summary:
ΔE_f = -0.351 eV per atom
space group = Immm

Cell lengths 3.835, 5.470, 11.788 Å; angles 103.42, 99.36, 90.00 degrees
Positions (direct):
Pm1 0.620 0.620 0.239
Pm2 0.380 0.380 0.761
Pm3 0.500 0.000 0.000
Nd1 0.732 0.232 0.465
Nd2 0.268 0.768 0.535
Hg1 0.117 0.117 0.234
Hg2 0.000 0.500 0.000
Hg3 0.883 0.883 0.766



Entry 12:
Here is a relaxed Pm4Nd2Hg crystal from Alexandria via LeMat-Bulk. Energies are from GGA-PBE.

Summary:
ΔE_f = -0.040 eV per atom
space group = C2/m

Cell lengths 3.695, 8.334, 9.097 Å; angles 119.86, 101.72, 90.00 degrees
Positions (direct):
Pm1 0.853 0.180 0.706
Pm2 0.147 0.820 0.294
Pm3 0.557 0.371 0.114
Pm4 0.443 0.629 0.886
Nd1 0.789 0.704 0.578
Nd2 0.211 0.296 0.422
Hg1 0.000 0.000 0.000



Entry 13:
Here is a relaxed Pm4Nd5Hg crystal from Alexandria via LeMat-Bulk. Energies are from GGA-PBE.

Summary:
ΔE_f = 0.011 eV per atom
space group = P4/mmm

Cell lengths 4.226, 4.226, 18.597 Å; angles 90.00, 90.00, 90.00 degrees
Positions (direct):
Pm1 0.000 0.000 0.199
Pm2 0.000 0.000 0.398
Pm3 0.000 0.000 0.602
Pm4 0.000 0.000 0.801
Nd1 0.500 0.500 0.090
Nd2 0.500 0.500 0.296
Nd3 0.500 0.500 0.500
Nd4 0.500 0.500 0.704
Nd5 0.500 0.500 0.910
Hg1 0.000 0.000 0.000



Entry 14:
Here is a relaxed PmNd2Hg crystal from Alexandria via LeMat-Bulk. Energies are from GGA-PBE.

Summary:
ΔE_f = -0.138 eV per atom
space group = R3m
ΔE to the lowest computed polymorph = 0.0892 eV/atom

Cell lengths 3.736, 3.736, 11.093 Å; angles 80.30, 80.30, 60.00 degrees
Positions (direct):
Pm1 0.500 0.500 0.500
Nd1 0.076 0.076 0.773
Nd2 0.258 0.258 0.227
Hg1 0.667 0.667 0.000



Entry 15:
Here is a relaxed PmNdHg5 crystal from Alexandria via LeMat-Bulk. Energies are from GGA-PBE.

Summary:
ΔE_f = -0.295 eV per atom
space group = P4/mmm

Cell lengths 4.783, 4.783, 8.505 Å; angles 90.00, 90.00, 90.00 degrees
Positions (direct):
Pm1 0.000 0.000 0.500
Nd1 0.500 0.500 0.000
Hg1 0.000 0.500 0.757
Hg2 0.000 0.500 0.243
Hg3 0.500 0.000 0.757
Hg4 0.500 0.000 0.243
Hg5 0.500 0.500 0.500



Entry 16:
Here is a relaxed PmNd8Hg2 crystal from Alexandria via LeMat-Bulk. Energies are from GGA-PBE.

Summary:
ΔE_f = -0.065 eV per atom
space group = C2/m

Cell lengths 5.793, 8.877, 8.877 Å; angles 119.17, 100.54, 100.54 degrees
Positions (direct):
Pm1 0.500 0.000 0.000
Nd1 0.895 0.909 0.683
Nd2 0.895 0.683 0.909
Nd3 0.300 0.599 0.599
Nd4 0.500 0.774 0.226
Nd5 0.500 0.226 0.774
Nd6 0.700 0.401 0.401
Nd7 0.105 0.317 0.091
Nd8 0.105 0.091 0.317
Hg1 0.000 0.306 0.694
Hg2 0.000 0.694 0.306



Entry 17:
Here is a relaxed Pm3NdHg7 crystal from Alexandria via LeMat-Bulk. Energies are from GGA-PBE.

Summary:
ΔE_f = -0.335 eV per atom
space group = Cmcm

Cell lengths 12.693, 12.693, 13.166 Å; angles 90.00, 90.00, 162.99 degrees
Positions (direct):
Pm1 0.857 0.143 0.429
Pm2 0.143 0.857 0.571
Pm3 0.820 0.180 0.750
Pm4 0.180 0.820 0.250
Pm5 0.857 0.143 0.071
Pm6 0.143 0.857 0.929
Nd1 0.019 0.981 0.250
Nd2 0.981 0.019 0.750
Hg1 0.693 0.307 0.750
Hg2 0.307 0.693 0.250
Hg3 0.460 0.540 0.413
Hg4 0.540 0.460 0.587
Hg5 0.540 0.460 0.913
Hg6 0.460 0.540 0.087
Hg7 0.599 0.401 0.384
Hg8 0.401 0.599 0.616
Hg9 0.727 0.273 0.421
Hg10 0.273 0.727 0.579
Hg11 0.273 0.727 0.921
Hg12 0.727 0.273 0.079
Hg13 0.599 0.401 0.116
Hg14 0.401 0.599 0.884



Entry 18:
Here is a relaxed Pm4Nd3Hg crystal from Alexandria via LeMat-Bulk. Energies are from GGA-PBE.

Summary:
ΔE_f = -0.015 eV per atom
space group = P4/mmm

Cell lengths 4.174, 4.174, 14.966 Å; angles 90.00, 90.00, 90.00 degrees
Positions (direct):
Nd1 0.500 0.500 0.251
Nd2 0.500 0.500 0.500
Nd3 0.500 0.500 0.749
Hg1 0.500 0.500 0.000
Pm1 0.000 0.000 0.888
Pm2 0.000 0.000 0.112
Pm3 0.000 0.000 0.374
Pm4 0.000 0.000 0.626



Entry 19:
Here is a relaxed Pm2NdHg6 crystal from Alexandria via LeMat-Bulk. Energies are from GGA-PBE.

Summary:
ΔE_f = -0.429 eV per atom
space group = P6/mmm

Cell lengths 3.480, 8.739, 8.739 Å; angles 120.00, 90.00, 90.00 degrees
Positions (direct):
Pm1 0.000 0.333 0.667
Pm2 0.000 0.667 0.333
Nd1 0.000 0.000 0.000
Hg1 0.500 0.334 0.334
Hg2 0.500 0.666 0.666
Hg3 0.500 0.000 0.666
Hg4 0.500 0.666 0.000
Hg5 0.500 0.334 0.000
Hg6 0.500 0.000 0.334



Entry 20:
Here is a relaxed Pm5Nd3Hg2 crystal from Alexandria via LeMat-Bulk. Energies are from GGA-PBE.

Summary:
ΔE_f = 0.033 eV per atom
space group = Ibam

Cell lengths 6.843, 10.564, 10.564 Å; angles 86.94, 71.10, 71.10 degrees
Positions (direct):
Pm1 0.250 0.500 0.500
Pm2 0.750 0.500 0.500
Pm3 0.514 0.736 0.736
Pm4 0.986 0.264 0.264
Pm5 0.486 0.264 0.264
Pm6 0.014 0.736 0.736
Pm7 0.089 0.588 0.234
Pm8 0.911 0.412 0.766
Pm9 0.589 0.234 0.588
Pm10 0.411 0.766 0.412
Nd1 0.250 0.000 0.000
Nd2 0.750 0.000 0.000
Nd3 0.351 0.375 0.922
Nd4 0.649 0.625 0.078
Nd5 0.851 0.922 0.375
Nd6 0.149 0.078 0.625
Hg1 0.135 0.735 0.994
Hg2 0.865 0.265 0.006
Hg3 0.635 0.994 0.735
Hg4 0.365 0.006 0.265